Compound: Si3Cl
Source: Alexandria via LeMat-Bulk
Functional: PBEsol
Structure: relaxed

ρ = 3.015 g/cm³
ΔE_f (raw) = 0.72 eV per atom
Fermi-level density of states = 2.63 states/eV/cell
SG = Pm-3m
ΔE to the lowest computed polymorph = 1.26 eV/f.u.

Cell lengths 4.040, 4.040, 4.040 Å; angles 90.00, 90.00, 90.00 degrees
Sites, in units of the cell vectors:
Cl 0.000 0.000 0.000
Si 0.500 0.000 0.500
Si 0.500 0.500 0.000
Si 0.000 0.500 0.500